# 1
! Ce2DyGaCo, optimized geometry, DFT PBE; values from VASP
! Magnetic moment (μB per formula unit): 0.4
! VASP energy (eV/atom): -5.524
! Space-group type: P4/mmm, No. 123
! Formation energy (eV/atom): -0.203
&SYSTEM
  ibrav = 0, nat = 5, ntyp = 4
/
ATOMIC_SPECIES
Ce 140.12 Ce.upf
Dy 162.50 Dy.upf
Ga 69.72 Ga.upf
Co 58.93 Co.upf
ATOMIC_POSITIONS angstrom
Ce 0.000 2.443 0.000
Ce 2.443 0.000 0.000
Dy 0.000 0.000 2.705
Ga 2.443 2.443 2.705
Co 0.000 0.000 0.000
CELL_PARAMETERS angstrom
4.886 0.000 0.000
0.000 4.886 0.000
0.000 0.000 5.410

# 2
! Pm6Nd3Y, optimized geometry, DFT PBE; values from VASP
! Magnetic moment (μB per formula unit): 0.0
! VASP energy (eV/atom): -4.667
! Space-group type: C2/m, No. 12
! Formation energy (eV/atom): 0.260
&SYSTEM
  ibrav = 0, nat = 10, ntyp = 3
/
ATOMIC_SPECIES
Pm 145.00 Pm.upf
Nd 144.24 Nd.upf
Y 88.91 Y.upf
ATOMIC_POSITIONS angstrom
Pm 2.463 1.612 1.639
Pm 0.910 0.000 4.265
Pm 2.463 -1.612 1.639
Pm 7.138 1.612 7.014
Pm 8.691 0.000 4.388
Pm 7.138 -1.612 7.014
Nd -1.221 0.000 7.278
Nd 5.785 0.000 0.000
Nd 10.822 0.000 1.374
Y 4.801 0.000 4.326
CELL_PARAMETERS angstrom
5.785 -3.553 0.000
5.785 3.553 0.000
-1.968 0.000 8.653